# ZnIn3Ru

Crystalline ZnIn3Ru at its relaxed geometry (PBE, Alexandria).

Geometry as POSCAR:
```
ZnIn3Ru
1.0
5.180 0.000 0.000
0.000 5.180 0.000
0.000 0.000 5.180
In Zn Ru
3 1 1
Direct
0.000 0.000 0.500
0.500 0.000 0.000
0.000 0.500 0.000
0.500 0.500 0.500
0.000 0.000 0.000
```

Properties
E above lowest polymorph ... 0.00 kcal/mol of atoms
Symmetry ... Pm-3m
D(E_F) ... 2.7 states/eV per cell
ΔH_f (0 K) ... 0.1720 eV per atom



# ZnInRu2

Crystalline ZnInRu2 at its relaxed geometry (PBE, Alexandria).

Geometry as POSCAR:
```
ZnInRu2
1.0
4.326 0.000 0.000
0.000 2.840 -0.028
0.000 0.643 5.172
In Ru Zn
1 2 1
Direct
0.500 0.750 0.750
0.000 0.477 0.470
0.000 0.023 0.030
0.500 0.250 0.250
```

Properties
Symmetry ... P2/m
D(E_F) ... 3.6 states/eV per cell
ΔH_f (0 K) ... 0.2227 eV per atom



# ZnInRu2

Crystalline ZnInRu2 at its relaxed geometry (PBE, Alexandria).

Geometry as POSCAR:
```
ZnInRu2
1.0
2.863 0.000 0.000
0.000 2.863 0.000
0.000 0.000 8.002
Zn Ru In
1 2 1
Direct
0.000 0.000 0.460
0.000 0.000 0.032
0.500 0.500 0.237
0.500 0.500 0.772
```

Properties
Symmetry ... P4mm
D(E_F) ... 2.3 states/eV per cell
ΔH_f (0 K) ... 0.0852 eV per atom



# ZnInRu2

Crystalline ZnInRu2 at its relaxed geometry (PBE, Alexandria).

Geometry as POSCAR:
```
ZnInRu2
1.0
-3.615 -0.753 -3.044
1.377 -3.487 -2.975
0.031 0.178 4.782
Zn In Ru
1 1 2
Direct
0.500 0.500 0.000
0.750 0.250 0.500
0.250 0.750 0.500
0.000 0.000 0.000
```

Properties
Symmetry ... I-4m2
D(E_F) ... 5.0 states/eV per cell
ΔH_f (0 K) ... 0.2120 eV per atom



# ZnInRu2

Crystalline ZnInRu2 at its relaxed geometry (PBE, Alexandria).

Geometry as POSCAR:
```
ZnInRu2
1.0
-0.753 3.934 -3.274
-4.459 2.534 0.680
4.497 -1.362 2.166
Zn In Ru
1 1 2
Direct
0.750 0.250 0.500
0.250 0.750 0.500
0.984 0.984 0.000
0.516 0.516 0.000
```

Properties
Symmetry ... Immm
D(E_F) ... 4.9 states/eV per cell
ΔH_f (0 K) ... 0.2323 eV per atom



# Zn2InRu2

Crystalline Zn2InRu2 at its relaxed geometry (PBE, Alexandria).

Geometry as POSCAR:
```
Zn2InRu2
1.0
-1.783 5.967 3.060
2.272 -2.442 6.084
3.057 1.243 -0.643
Ru Zn In
4 4 2
Direct
0.134 0.366 0.000
0.866 0.634 0.000
0.366 0.866 0.000
0.634 0.134 0.000
0.839 0.339 0.500
0.661 0.839 0.500
0.339 0.161 0.500
0.161 0.661 0.500
0.500 0.500 0.000
0.000 0.000 0.000
```

Properties
E above lowest polymorph ... 0.00 kcal/mol of atoms
Symmetry ... P4/mbm
D(E_F) ... 10.1 states/eV per cell
ΔH_f (0 K) ... 0.0922 eV per atom



# Zn2In2Ru

Crystalline Zn2In2Ru at its relaxed geometry (PBE, Alexandria).

Geometry as POSCAR:
```
Zn2In2Ru
1.0
6.862 0.000 0.000
0.000 6.862 0.000
0.000 0.000 3.827
Ru Zn In
2 4 4
Direct
0.500 0.500 0.000
0.000 0.000 0.000
0.866 0.634 0.000
0.366 0.866 0.000
0.134 0.366 0.000
0.634 0.134 0.000
0.173 0.673 0.500
0.673 0.827 0.500
0.827 0.327 0.500
0.327 0.173 0.500
```

Properties
Symmetry ... P4/mbm
D(E_F) ... 5.6 states/eV per cell
ΔH_f (0 K) ... 0.2633 eV per atom



# ZrIn2Ru

Crystalline ZrIn2Ru at its relaxed geometry (PBE, Alexandria).

Geometry as POSCAR:
```
ZrIn2Ru
1.0
-4.015 2.389 3.051
-5.527 0.135 0.752
-1.649 -2.630 3.663
In Ru Zr
2 1 1
Direct
0.230 0.230 0.270
0.004 0.004 0.996
0.488 0.488 0.512
0.778 0.778 0.722
```

Properties
Symmetry ... Imm2
D(E_F) ... 2.5 states/eV per cell
ΔH_f (0 K) ... -0.0985 eV per atom



# ZrIn2Ru

Crystalline ZrIn2Ru at its relaxed geometry (PBE, Alexandria).

Geometry as POSCAR:
```
ZrIn2Ru
1.0
4.170 0.000 0.000
0.000 4.170 0.000
0.000 0.000 4.497
Ru In Zr
1 2 1
Direct
0.500 0.000 0.500
0.000 0.000 0.000
0.500 0.500 0.000
0.000 0.500 0.500
```

Properties
Symmetry ... P4/mmm
D(E_F) ... 3.0 states/eV per cell
ΔH_f (0 K) ... -0.0984 eV per atom



# Zr5InRu4

Crystalline Zr5InRu4 at its relaxed geometry (PBE, Alexandria).

Geometry as POSCAR:
```
Zr5InRu4
1.0
-3.155 0.292 -0.718
0.420 -1.884 -2.614
-3.528 -14.257 9.708
Ru Zr In
4 5 1
Direct
0.000 0.000 0.407
0.000 0.000 0.593
0.000 0.000 0.781
0.000 0.000 0.219
0.500 0.500 0.312
0.500 0.500 0.876
0.500 0.500 0.688
0.500 0.500 0.500
0.500 0.500 0.124
0.000 0.000 0.000
```

Properties
Symmetry ... P4/mmm
D(E_F) ... 4.6 states/eV per cell
ΔH_f (0 K) ... -0.5522 eV per atom



# ZrIn2Ru

Crystalline ZrIn2Ru at its relaxed geometry (PBE, Alexandria).

Geometry as POSCAR:
```
ZrIn2Ru
1.0
-3.392 -0.093 3.251
0.683 -3.057 0.626
3.756 0.516 3.933
In Zr Ru
2 1 1
Direct
0.000 0.405 0.485
0.000 0.095 0.015
0.500 0.750 0.750
0.500 0.250 0.250
```

Properties
Symmetry ... P2/m
D(E_F) ... 2.4 states/eV per cell
ΔH_f (0 K) ... -0.0435 eV per atom



# ZrIn2Ru

Crystalline ZrIn2Ru at its relaxed geometry (PBE, Alexandria).

Geometry as POSCAR:
```
ZrIn2Ru
1.0
-3.054 3.622 -1.825
-4.410 -0.754 2.400
4.645 0.484 1.992
In Ru Zr
2 1 1
Direct
0.250 0.750 0.500
0.000 0.000 0.000
0.500 0.500 0.000
0.750 0.250 0.500
```

Properties
Symmetry ... I-4m2
D(E_F) ... 1.7 states/eV per cell
ΔH_f (0 K) ... -0.1014 eV per atom



# ZrIn2Ru

Crystalline ZrIn2Ru at its relaxed geometry (PBE, Alexandria).

Geometry as POSCAR:
```
ZrIn2Ru
1.0
3.149 0.000 0.000
0.000 4.179 0.000
0.000 0.000 5.958
Ru In Zr
1 2 1
Direct
0.500 0.500 0.250
0.000 0.000 0.018
0.000 0.000 0.482
0.500 0.500 0.750
```

Properties
Symmetry ... Pmmm
D(E_F) ... 3.3 states/eV per cell
ΔH_f (0 K) ... -0.0080 eV per atom



# ZrInRu

Crystalline ZrInRu at its relaxed geometry (PBE, Alexandria).

Geometry as POSCAR:
```
ZrInRu
1.0
-2.137 3.978 0.277
-4.293 0.363 -1.383
-3.310 0.583 3.028
Zr Ru In
1 1 1
Direct
0.000 0.000 0.000
0.750 0.750 0.750
0.500 0.500 0.500
```

Properties
Symmetry ... F-43m
D(E_F) ... 2.7 states/eV per cell
ΔH_f (0 K) ... -0.1187 eV per atom



# ZrIn2Ru

Crystalline ZrIn2Ru at its relaxed geometry (PBE, Alexandria).

Geometry as POSCAR:
```
ZrIn2Ru
1.0
-1.884 1.393 -2.264
-2.638 -1.317 1.385
-0.728 5.935 4.258
Zr Ru In
1 1 2
Direct
0.500 0.500 0.750
0.500 0.500 0.250
0.000 0.000 0.035
0.000 0.000 0.465
```

Properties
Symmetry ... P4/mmm
D(E_F) ... 3.2 states/eV per cell
ΔH_f (0 K) ... -0.1085 eV per atom



# ZrIn2Ru

Crystalline ZrIn2Ru at its relaxed geometry (PBE, Alexandria).

Geometry as POSCAR:
```
ZrIn2Ru
1.0
-5.013 2.650 0.972
-4.681 -2.170 -2.543
4.349 -0.885 3.660
In Zr Ru
2 1 1
Direct
0.979 0.979 0.000
0.521 0.521 0.000
0.250 0.750 0.500
0.750 0.250 0.500
```

Properties
Symmetry ... Immm
D(E_F) ... 4.4 states/eV per cell
ΔH_f (0 K) ... -0.0509 eV per atom



# ZrIn2Ru

Crystalline ZrIn2Ru at its relaxed geometry (PBE, Alexandria).

Geometry as POSCAR:
```
ZrIn2Ru
1.0
-5.317 0.194 7.878
-5.045 -2.941 7.502
-2.768 -1.321 8.999
Zr In Ru
1 2 1
Direct
0.750 0.750 0.750
0.509 0.509 0.509
0.991 0.991 0.991
0.250 0.250 0.250
```

Properties
Symmetry ... R-3m
D(E_F) ... 4.5 states/eV per cell
ΔH_f (0 K) ... 0.0768 eV per atom



# ZrIn2Ru

Crystalline ZrIn2Ru at its relaxed geometry (PBE, Alexandria).

Geometry as POSCAR:
```
ZrIn2Ru
1.0
-0.338 -3.239 0.187
3.014 -0.383 -1.194
5.874 -0.267 5.986
Ru In Zr
1 2 1
Direct
0.000 0.489 0.510
0.000 0.011 0.990
0.500 0.209 0.291
0.500 0.791 0.710
```

Properties
Symmetry ... Pm
D(E_F) ... 1.4 states/eV per cell
ΔH_f (0 K) ... -0.1837 eV per atom



# ZrIn2Ru

Crystalline ZrIn2Ru at its relaxed geometry (PBE, Alexandria).

Geometry as POSCAR:
```
ZrIn2Ru
1.0
-1.183 -1.937 4.739
2.078 -2.464 4.149
1.166 3.608 3.227
In Zr Ru
2 1 1
Direct
0.516 0.516 0.479
0.984 0.984 0.021
0.750 0.750 0.750
0.250 0.250 0.250
```

Properties
Symmetry ... C2/m
D(E_F) ... 3.0 states/eV per cell
ΔH_f (0 K) ... -0.0549 eV per atom



# Zr6InRu

Crystalline Zr6InRu at its relaxed geometry (PBE, Alexandria).

Geometry as POSCAR:
```
Zr6InRu
1.0
8.203 0.008 0.148
4.103 6.411 -0.139
4.043 2.005 3.310
In Ru Zr
1 1 6
Direct
0.500 0.500 0.500
0.000 0.000 0.000
0.555 0.237 0.187
0.978 0.555 0.231
0.237 0.021 0.297
0.022 0.445 0.769
0.445 0.763 0.813
0.763 0.979 0.703
```

Properties
Symmetry ... R-3
D(E_F) ... 8.5 states/eV per cell
ΔH_f (0 K) ... -0.2085 eV per atom



# Zr4InRu

Crystalline Zr4InRu at its relaxed geometry (PBE, Alexandria).

Geometry as POSCAR:
```
Zr4InRu
1.0
0.000 3.993 3.993
3.993 0.000 3.993
3.993 3.993 0.000
In Zr Ru
1 4 1
Direct
0.750 0.750 0.750
0.878 0.374 0.374
0.374 0.374 0.374
0.374 0.374 0.878
0.374 0.878 0.374
0.000 0.000 0.000
```

Properties
Symmetry ... F-43m
D(E_F) ... 8.5 states/eV per cell
ΔH_f (0 K) ... 0.3282 eV per atom



# ZrInRu

Crystalline ZrInRu at its relaxed geometry (PBE, Alexandria).

Geometry as POSCAR:
```
ZrInRu
1.0
-0.489 -3.192 0.407
2.016 1.054 -2.328
5.058 -0.230 4.276
Zr In Ru
1 1 1
Direct
0.667 0.333 0.631
0.000 0.000 0.020
0.333 0.667 0.349
```

Properties
Symmetry ... P3m1
D(E_F) ... 2.7 states/eV per cell
ΔH_f (0 K) ... -0.0456 eV per atom



# ZrIn2Ru

Crystalline ZrIn2Ru at its relaxed geometry (PBE, Alexandria).

Geometry as POSCAR:
```
ZrIn2Ru
1.0
0.000 3.375 3.375
3.375 0.000 3.375
3.375 3.375 0.000
Zr Ru In
1 1 2
Direct
0.000 0.000 0.000
0.500 0.500 0.500
0.250 0.250 0.250
0.750 0.750 0.750
```

Properties
Symmetry ... Fm-3m
D(E_F) ... 1.6 states/eV per cell
ΔH_f (0 K) ... -0.0527 eV per atom



# ZrInRu

Crystalline ZrInRu at its relaxed geometry (PBE, Alexandria).

Geometry as POSCAR:
```
ZrInRu
1.0
-2.402 -1.997 -3.362
-3.002 -3.327 0.989
-4.505 0.787 -0.381
Ru Zr In
1 1 1
Direct
0.500 0.500 0.500
0.750 0.750 0.750
0.000 0.000 0.000
```

Properties
Symmetry ... F-43m
D(E_F) ... 3.0 states/eV per cell
ΔH_f (0 K) ... 0.4469 eV per atom



# ZrIn2Ru

Crystalline ZrIn2Ru at its relaxed geometry (PBE, Alexandria).

Geometry as POSCAR:
```
ZrIn2Ru
1.0
6.625 0.026 0.080
-2.560 4.576 -0.067
1.506 0.837 2.615
Ru In Zr
1 2 1
Direct
0.000 0.500 0.500
0.000 0.000 0.000
0.500 0.000 0.500
0.500 0.500 0.000
```

Properties
Symmetry ... C2/m
D(E_F) ... 3.8 states/eV per cell
ΔH_f (0 K) ... 0.0507 eV per atom



# Zr11In9Ru4

Crystalline Zr11In9Ru4 at its relaxed geometry (PBE, Alexandria).

Geometry as POSCAR:
```
Zr11In9Ru4
1.0
3.334 0.000 0.000
0.000 11.794 -4.918
0.000 0.113 12.778
In Zr Ru
9 11 4
Direct
0.500 0.500 0.500
0.500 0.155 0.637
0.500 0.845 0.363
0.500 0.075 0.218
0.500 0.782 0.925
0.500 0.363 0.845
0.500 0.925 0.782
0.500 0.637 0.155
0.500 0.218 0.075
0.000 0.686 0.686
0.000 0.626 0.374
0.000 0.416 0.070
0.000 0.070 0.416
0.000 0.314 0.314
0.000 0.930 0.584
0.000 0.000 0.000
0.000 0.584 0.930
0.000 0.848 0.152
0.000 0.374 0.626
0.000 0.152 0.848
0.500 0.242 0.450
0.500 0.758 0.550
0.500 0.450 0.242
0.500 0.550 0.758
```

Properties
Symmetry ... Cmmm
D(E_F) ... 13.0 states/eV per cell
ΔH_f (0 K) ... -0.4074 eV per atom



# ZrIn2Ru

Crystalline ZrIn2Ru at its relaxed geometry (PBE, Alexandria).

Geometry as POSCAR:
```
ZrIn2Ru
1.0
7.824 0.000 0.000
0.000 7.824 0.000
3.912 3.912 2.813
Zr In Ru
2 4 2
Direct
0.500 0.500 0.000
0.250 0.750 0.500
0.091 0.625 0.250
0.375 0.341 0.750
0.659 0.125 0.250
0.875 0.909 0.750
0.750 0.250 0.500
0.000 0.000 0.000
```

Properties
Symmetry ... I-42d
D(E_F) ... 4.3 states/eV per cell
ΔH_f (0 K) ... 0.2060 eV per atom



# Zr3InRu4

Crystalline Zr3InRu4 at its relaxed geometry (PBE, Alexandria).

Geometry as POSCAR:
```
Zr3InRu4
1.0
-1.132 -3.880 2.230
2.219 -1.165 3.876
-4.705 2.120 6.080
In Ru Zr
1 4 3
Direct
0.000 0.000 0.000
0.379 0.379 0.864
0.873 0.873 0.381
0.621 0.621 0.136
0.127 0.127 0.619
0.746 0.746 0.761
0.500 0.500 0.500
0.254 0.254 0.239
```

Properties
Symmetry ... R-3m
D(E_F) ... 4.5 states/eV per cell
ΔH_f (0 K) ... -0.5443 eV per atom